First-principles (PBE) data for a relaxed structure of PmNdSm2N4, as listed in Alexandria via LeMat-Bulk.

abc: 6.2521 3.6124 6.2526
angles: 90.00 109.42 90.00
Closest atoms and distances in Å follow each position.
Positions (direct):
Pm1 0.0000 0.0000 0.0000  6 N 2.56
Nd1 0.5000 0.5000 0.0000  6 N 2.57
Sm1 0.0000 0.5000 0.5000  6 N 2.54
Sm2 0.5000 0.0000 0.5000  6 N 2.55
N1 0.2479 0.0000 0.7468  3 Sm 2.54-2.55, 1 Pm 2.56, 2 Nd 2.57
N2 0.2497 0.5000 0.2523  3 Sm 2.54-2.55, 2 Pm 2.56, 1 Nd 2.57
N3 0.7503 0.5000 0.7477  3 Sm 2.54-2.55, 2 Pm 2.56, 1 Nd 2.57
N4 0.7521 0.0000 0.2532  3 Sm 2.54-2.55, 1 Pm 2.56, 2 Nd 2.57

Output
The formation energy (no corrections) is -1439 meV per atom. As for the space group: P2/m (10).